Density functional theory data (PBE-GGA) for a relaxed structure of La4CI2N.

Values from the calculation:
* crystal system: monoclinic
* uncorrected formation energy: -1010.9 meV/atom

Geometry as CIF:
```
data_La4CI2N
_chemical_formula_sum 'La4 C1 I2 N1'
_cell_length_a 6.768
_cell_length_b 3.910
_cell_length_c 8.261
_cell_angle_alpha 90.00
_cell_angle_beta 105.90
_cell_angle_gamma 90.00
_space_group_name_H-M_alt 'P 1 2/m 1'
_space_group_IT_number 10
_space_group_name_Hall '-P 2y'
loop_
_atom_site_label
_atom_site_type_symbol
_atom_site_fract_x
_atom_site_fract_y
_atom_site_fract_z
La1 La 0.220 0.000 0.171
La2 La 0.272 0.500 0.827
C1 C 0.500 0.000 0.000
I1 I 0.000 0.000 0.500
I2 I 0.500 0.500 0.500
N1 N 0.000 0.500 0.000
```

***

Density functional theory data (PBE-GGA) for a relaxed structure of LaCI2N.

Values from the calculation:
* crystal system: tetragonal
* uncorrected formation energy: 1191.0 meV/atom

Geometry as CIF:
```
data_LaCI2N
_chemical_formula_sum 'La1 C1 I2 N1'
_cell_length_a 6.532
_cell_length_b 6.532
_cell_length_c 4.128
_cell_angle_alpha 90.00
_cell_angle_beta 90.00
_cell_angle_gamma 90.00
_space_group_name_H-M_alt 'P 4/m m m'
_space_group_IT_number 123
_space_group_name_Hall '-P 4 2'
loop_
_atom_site_label
_atom_site_type_symbol
_atom_site_fract_x
_atom_site_fract_y
_atom_site_fract_z
La1 La 0.000 0.000 0.000
C1 C 0.500 0.500 0.500
I1 I 0.000 0.500 0.000
N1 N 0.000 0.000 0.500
```

***

Density functional theory data (PBE-GGA) for a relaxed structure of LaCIN2.

Values from the calculation:
* crystal system: tetragonal
* uncorrected formation energy: 1564.2 meV/atom

Geometry as CIF:
```
data_LaCIN2
_chemical_formula_sum 'La1 C1 I1 N2'
_cell_length_a 4.318
_cell_length_b 4.318
_cell_length_c 4.271
_cell_angle_alpha 90.00
_cell_angle_beta 90.00
_cell_angle_gamma 90.00
_space_group_name_H-M_alt 'P 4/m m m'
_space_group_IT_number 123
_space_group_name_Hall '-P 4 2'
loop_
_atom_site_label
_atom_site_type_symbol
_atom_site_fract_x
_atom_site_fract_y
_atom_site_fract_z
La1 La 0.000 0.000 0.000
C1 C 0.500 0.500 0.500
I1 I 0.500 0.500 0.000
N1 N 0.000 0.500 0.500
```

***

Density functional theory data (PBE-GGA) for a relaxed structure of La4NiCI2.

Values from the calculation:
* crystal system: monoclinic
* uncorrected formation energy: -676.2 meV/atom

Geometry as CIF:
```
data_La4NiCI2
_chemical_formula_sum 'La4 Ni1 C1 I2'
_cell_length_a 7.373
_cell_length_b 3.976
_cell_length_c 8.345
_cell_angle_alpha 90.00
_cell_angle_beta 106.86
_cell_angle_gamma 90.00
_space_group_name_H-M_alt 'P 1 2/m 1'
_space_group_IT_number 10
_space_group_name_Hall '-P 2y'
loop_
_atom_site_label
_atom_site_type_symbol
_atom_site_fract_x
_atom_site_fract_y
_atom_site_fract_z
La1 La 0.197 0.000 0.182
La2 La 0.269 0.500 0.822
Ni1 Ni 0.500 0.000 0.000
C1 C 0.000 0.500 0.000
I1 I 0.000 0.000 0.500
I2 I 0.500 0.500 0.500
```

***

Density functional theory data (PBE-GGA) for a relaxed structure of La2NiCI.

Values from the calculation:
* crystal system: tetragonal
* uncorrected formation energy: -473.5 meV/atom

Geometry as CIF:
```
data_La2NiCI
_chemical_formula_sum 'La2 Ni1 C1 I1'
_cell_length_a 5.484
_cell_length_b 5.484
_cell_length_c 3.729
_cell_angle_alpha 90.00
_cell_angle_beta 90.00
_cell_angle_gamma 90.00
_space_group_name_H-M_alt 'P 4/m m m'
_space_group_IT_number 123
_space_group_name_Hall '-P 4 2'
loop_
_atom_site_label
_atom_site_type_symbol
_atom_site_fract_x
_atom_site_fract_y
_atom_site_fract_z
La1 La 0.000 0.500 0.000
Ni1 Ni 0.000 0.000 0.500
C1 C 0.000 0.000 0.000
I1 I 0.500 0.500 0.500
```

***

Density functional theory data (PBE-GGA) for a relaxed structure of La8Ni3CI4.

Values from the calculation:
* crystal system: monoclinic
* uncorrected formation energy: -693.6 meV/atom

Geometry as CIF:
```
data_La8Ni3CI4
_chemical_formula_sum 'La16 Ni6 C2 I8'
_cell_length_a 14.618
_cell_length_b 8.189
_cell_length_c 9.448
_cell_angle_alpha 90.00
_cell_angle_beta 120.85
_cell_angle_gamma 90.00
_space_group_name_H-M_alt 'C 1 2/m 1'
_space_group_IT_number 12
_space_group_name_Hall '-C 2y'
loop_
_atom_site_label
_atom_site_type_symbol
_atom_site_fract_x
_atom_site_fract_y
_atom_site_fract_z
La1 La 0.014 0.236 0.319
La2 La 0.222 0.000 0.680
La3 La 0.233 0.500 0.685
Ni1 Ni 0.000 0.500 0.500
Ni2 Ni 0.250 0.250 0.500
C1 C 0.000 0.000 0.500
I1 I 0.000 0.000 0.000
I2 I 0.000 0.500 0.000
I3 I 0.250 0.250 0.000
```

***

Density functional theory data (PBE-GGA) for a relaxed structure of La4CI2O.

Values from the calculation:
* crystal system: monoclinic
* uncorrected formation energy: -1322.2 meV/atom

Geometry as CIF:
```
data_La4CI2O
_chemical_formula_sum 'La4 C1 I2 O1'
_cell_length_a 6.752
_cell_length_b 3.936
_cell_length_c 8.161
_cell_angle_alpha 90.00
_cell_angle_beta 106.11
_cell_angle_gamma 90.00
_space_group_name_H-M_alt 'P 1 2/m 1'
_space_group_IT_number 10
_space_group_name_Hall '-P 2y'
loop_
_atom_site_label
_atom_site_type_symbol
_atom_site_fract_x
_atom_site_fract_y
_atom_site_fract_z
La1 La 0.225 0.000 0.174
La2 La 0.274 0.500 0.829
C1 C 0.000 0.500 0.000
I1 I 0.000 0.000 0.500
I2 I 0.500 0.500 0.500
O1 O 0.500 0.000 0.000
```

***

Density functional theory data (PBE-GGA) for a relaxed structure of La8C3I4O.

Values from the calculation:
* crystal system: monoclinic
* uncorrected formation energy: -1032.7 meV/atom

Geometry as CIF:
```
data_La8C3I4O
_chemical_formula_sum 'La16 C6 I8 O2'
_cell_length_a 13.648
_cell_length_b 7.842
_cell_length_c 9.155
_cell_angle_alpha 90.00
_cell_angle_beta 119.86
_cell_angle_gamma 90.00
_space_group_name_H-M_alt 'C 1 2/m 1'
_space_group_IT_number 12
_space_group_name_Hall '-C 2y'
loop_
_atom_site_label
_atom_site_type_symbol
_atom_site_fract_x
_atom_site_fract_y
_atom_site_fract_z
La1 La 0.026 0.250 0.328
La2 La 0.225 0.000 0.673
La3 La 0.226 0.500 0.676
C1 C 0.000 0.500 0.500
C2 C 0.250 0.250 0.500
I1 I 0.000 0.000 0.000
I2 I 0.000 0.500 0.000
I3 I 0.250 0.250 0.000
O1 O 0.000 0.000 0.500
```

***

Density functional theory data (PBE-GGA) for a relaxed structure of La6Os2CI3.

Values from the calculation:
* crystal system: monoclinic
* uncorrected formation energy: -688.6 meV/atom

Geometry as CIF:
```
data_La6Os2CI3
_chemical_formula_sum 'La12 Os4 C2 I6'
_cell_length_a 7.246
_cell_length_b 12.506
_cell_length_c 8.490
_cell_angle_alpha 90.00
_cell_angle_beta 106.63
_cell_angle_gamma 90.00
_space_group_name_H-M_alt 'C 1 2/m 1'
_space_group_IT_number 12
_space_group_name_Hall '-C 2y'
loop_
_atom_site_label
_atom_site_type_symbol
_atom_site_fract_x
_atom_site_fract_y
_atom_site_fract_z
La1 La 0.217 0.159 0.178
La2 La 0.240 0.500 0.179
Os1 Os 0.000 0.333 0.000
C1 C 0.000 0.000 0.000
I1 I 0.000 0.169 0.500
I2 I 0.000 0.500 0.500
```

***

Density functional theory data (PBE-GGA) for a relaxed structure of La8Os3CI3.

Values from the calculation:
* crystal system: trigonal
* uncorrected formation energy: -541.7 meV/atom

Geometry as CIF:
```
data_La8Os3CI3
_chemical_formula_sum 'La24 Os9 C3 I9'
_cell_length_a 8.3521
_cell_length_b 8.3521
_cell_length_c 24.9090
_cell_angle_alpha 90.00
_cell_angle_beta 90.00
_cell_angle_gamma 120.00
_space_group_name_H-M_alt 'R -3 m'
_space_group_IT_number 166
_space_group_name_Hall '-R 3 2"'
loop_
_atom_site_label
_atom_site_type_symbol
_atom_site_fract_x
_atom_site_fract_y
_atom_site_fract_z
La1 La 0.0000 0.0000 0.2306
La2 La 0.0138 0.5069 0.2235
Os1 Os 0.0000 0.5000 0.5000
C1 C 0.0000 0.0000 0.5000
I1 I 0.0000 0.5000 0.0000
```

***

Density functional theory data (PBE-GGA) for a relaxed structure of LaPCI2.

Values from the calculation:
* crystal system: tetragonal
* uncorrected formation energy: 581.5 meV/atom

Geometry as CIF:
```
data_LaPCI2
_chemical_formula_sum 'La1 P1 C1 I2'
_cell_length_a 4.843
_cell_length_b 4.843
_cell_length_c 5.384
_cell_angle_alpha 90.00
_cell_angle_beta 90.00
_cell_angle_gamma 90.00
_space_group_name_H-M_alt 'P 4/m m m'
_space_group_IT_number 123
_space_group_name_Hall '-P 4 2'
loop_
_atom_site_label
_atom_site_type_symbol
_atom_site_fract_x
_atom_site_fract_y
_atom_site_fract_z
La1 La 0.000 0.000 0.000
P1 P 0.500 0.500 0.000
C1 C 0.000 0.000 0.500
I1 I 0.000 0.500 0.500
```

***

Density functional theory data (PBE-GGA) for a relaxed structure of La8P3CI3.

Values from the calculation:
* crystal system: trigonal
* uncorrected formation energy: -1148.0 meV/atom

Geometry as CIF:
```
data_La8P3CI3
_chemical_formula_sum 'La24 P9 C3 I9'
_cell_length_a 8.4419
_cell_length_b 8.4419
_cell_length_c 23.4972
_cell_angle_alpha 90.00
_cell_angle_beta 90.00
_cell_angle_gamma 120.00
_space_group_name_H-M_alt 'R -3 m'
_space_group_IT_number 166
_space_group_name_Hall '-R 3 2"'
loop_
_atom_site_label
_atom_site_type_symbol
_atom_site_fract_x
_atom_site_fract_y
_atom_site_fract_z
La1 La 0.0000 0.0000 0.2310
La2 La 0.0263 0.5131 0.2286
P1 P 0.0000 0.5000 0.5000
C1 C 0.0000 0.0000 0.5000
I1 I 0.0000 0.5000 0.0000
```